Compound: SrNb3Ir
Source: Alexandria
Functional: PBE
Structure: relaxed

The space group is Pm-3m (No. 221) and the conventional cell measures 4.7313, 4.7313 and 4.7313 Å, with angles of 90.00, 90.00 and 90.00 degrees. The distinct sites, in fractional coordinates, are Sr at (0.0000, 0.0000, 0.0000), Nb at (0.0000, 0.0000, 0.5000) and Ir at (0.5000, 0.5000, 0.5000).

Its energy above the most stable polymorph in this dataset is 1.9652 eV/atom.

---

Compound: SrNbIr2
Source: Alexandria
Functional: PBE
Structure: relaxed

The space group is P4/mmm (No. 123) and the conventional cell measures 3.2081, 3.2081 and 7.7452 Å, with angles of 90.00, 90.00 and 90.00 degrees. The distinct sites, in fractional coordinates, are Sr at (0.0000, 0.0000, 0.0000), Nb at (0.0000, 0.0000, 0.5000) and Ir at (0.5000, 0.5000, 0.3080).

Its energy above the most stable polymorph in this dataset is 0.0000 eV/atom.

---

Compound: SrNb2Ir2
Source: Alexandria
Functional: PBE
Structure: relaxed

The space group is P4/mbm (No. 127) and the conventional cell measures 8.1608, 8.1608 and 2.8736 Å, with angles of 90.00, 90.00 and 90.00 degrees. The distinct sites, in fractional coordinates, are Sr at (0.0000, 0.0000, 0.0000), Nb at (0.1375, 0.3625, 0.0000) and Ir at (0.1527, 0.6527, 0.5000).

Its energy above the most stable polymorph in this dataset is 0.2204 eV/atom.

---

Compound: Sr2NbIr
Source: Alexandria
Functional: PBE
Structure: relaxed

The space group is Fm-3m (No. 225) and the conventional cell measures 7.5237, 7.5237 and 7.5237 Å, with angles of 90.00, 90.00 and 90.00 degrees. The distinct sites, in fractional coordinates, are Sr at (0.2500, 0.2500, 0.2500), Nb at (0.0000, 0.0000, 0.0000) and Ir at (0.0000, 0.0000, 0.5000).

Its energy above the most stable polymorph in this dataset is 0.3176 eV/atom.

---

Compound: Sr2NbIr
Source: Alexandria
Functional: PBE
Structure: relaxed

The space group is I-42d (No. 122) and the conventional cell measures 11.2887, 11.2887 and 4.8774 Å, with angles of 90.00, 90.00 and 90.00 degrees. The distinct sites, in fractional coordinates, are Sr at (0.0876, 0.7500, 0.1250), Nb at (0.0000, 0.0000, 0.5000) and Ir at (0.0000, 0.0000, 0.0000).

Its energy above the most stable polymorph in this dataset is 0.0000 eV/atom.

---

Compound: SrNb2Ir2
Source: Alexandria
Functional: PBE
Structure: relaxed

The space group is I4/mmm (No. 139) and the conventional cell measures 4.7085, 4.7085 and 10.0516 Å, with angles of 90.00, 90.00 and 90.00 degrees. The distinct sites, in fractional coordinates, are Sr at (0.0000, 0.0000, 0.0000), Nb at (0.0000, 0.0000, 0.3605) and Ir at (0.0000, 0.5000, 0.2500).

Its energy above the most stable polymorph in this dataset is 0.4019 eV/atom.

---

Compound: SrNb3Ir
Source: Alexandria
Functional: PBE
Structure: relaxed

The space group is Pm-3m (No. 221) and the conventional cell measures 5.0061, 5.0061 and 5.0061 Å, with angles of 90.00, 90.00 and 90.00 degrees. The distinct sites, in fractional coordinates, are Sr at (0.0000, 0.0000, 0.0000), Nb at (0.0000, 0.5000, 0.5000) and Ir at (0.5000, 0.5000, 0.5000).

Its energy above the most stable polymorph in this dataset is 0.0000 eV/atom.

---

Compound: Sr2NbIr2
Source: Alexandria
Functional: PBE
Structure: relaxed

The space group is P4/mbm (No. 127) and the conventional cell measures 6.8122, 6.8122 and 5.1387 Å, with angles of 90.00, 90.00 and 90.00 degrees. The distinct sites, in fractional coordinates, are Sr at (0.1777, 0.3223, 0.0000), Nb at (0.0000, 0.0000, 0.5000) and Ir at (0.1305, 0.6305, 0.5000).

---

Compound: SrNb2Ir2
Source: Alexandria
Functional: PBE
Structure: relaxed

The space group is I4/mmm (No. 139) and the conventional cell measures 4.5213, 4.5213 and 10.5904 Å, with angles of 90.00, 90.00 and 90.00 degrees. The distinct sites, in fractional coordinates, are Sr at (0.0000, 0.0000, 0.0000), Nb at (0.0000, 0.5000, 0.2500) and Ir at (0.0000, 0.0000, 0.3723).

Its energy above the most stable polymorph in this dataset is 0.0000 eV/atom.

---

Compound: SrTaNbIr2
Source: Alexandria
Functional: PBE
Structure: relaxed

The space group is I-4m2 (No. 119) and the conventional cell measures 4.5046, 4.5046 and 10.6623 Å, with angles of 90.00, 90.00 and 90.00 degrees. The distinct sites, in fractional coordinates, are Sr at (0.0000, 0.0000, 0.0000), Ta at (0.0000, 0.5000, 0.7500), Nb at (0.0000, 0.5000, 0.2500) and Ir at (0.0000, 0.0000, 0.3721).

Its energy above the most stable polymorph in this dataset is 0.0000 eV/atom.

---

Compound: SrTaNbIr2
Source: Alexandria
Functional: PBE
Structure: relaxed

The space group is P4/mmm (No. 123) and the conventional cell measures 4.7948, 4.7948 and 4.8006 Å, with angles of 90.00, 90.00 and 90.00 degrees. The distinct sites, in fractional coordinates, are Sr at (0.0000, 0.0000, 0.0000), Ta at (0.5000, 0.5000, 0.5000), Nb at (0.0000, 0.0000, 0.5000) and Ir at (0.0000, 0.5000, 0.0000).

Its energy above the most stable polymorph in this dataset is 3.0549 eV/atom.

---

Compound: SrTi2NbIr
Source: Alexandria
Functional: PBE
Structure: relaxed

The space group is P4/mmm (No. 123) and the conventional cell measures 4.5410, 4.5410 and 4.8184 Å, with angles of 90.00, 90.00 and 90.00 degrees. The distinct sites, in fractional coordinates, are Sr at (0.0000, 0.0000, 0.0000), Ti at (0.0000, 0.5000, 0.0000), Nb at (0.0000, 0.0000, 0.5000) and Ir at (0.5000, 0.5000, 0.5000).

---

Per-record DFT total energy, eV per atom: -5.443; -7.625; -8.097; -4.792; -5.110; -7.915; -7.408; -6.314; -8.317; -8.701; -5.647; -5.072